# HfNb2AgCl

An optimized crystal structure of HfNb2AgCl (PBE, the Alexandria database).

Cell: 4.992 4.992 5.287 Å, 90.00 90.00 90.00°
Positions (direct):
Hf  0.000  0.000  0.000
Nb  0.000  0.500  0.000
Nb  0.500  0.000  0.000
Ag  0.000  0.000  0.500
Cl  0.500  0.500  0.500

D(E_F): 5.6 states/eV per cell
Size of the total moment: 0.00 μB per cell
Uncorrected energy: -5.447 eV/atom
Formation energy (no corrections): 1.51 eV/atom

---

# HfAgPtCl2

An optimized crystal structure of HfAgPtCl2 (PBE, the Alexandria database).

Cell: 4.715 4.715 5.783 Å, 90.00 90.00 90.00°
Positions (direct):
Hf  0.000  0.000  0.000
Ag  0.000  0.000  0.500
Pt  0.500  0.500  0.500
Cl  0.000  0.500  0.000
Cl  0.500  0.000  0.000

D(E_F): 6.0 states/eV per cell
Size of the total moment: 0.03 μB per cell
Uncorrected energy: -4.291 eV/atom
Formation energy (no corrections): 0.22 eV/atom

---

# RbHfAg2Cl8

An optimized crystal structure of RbHfAg2Cl8 (PBE, the Alexandria database).

Cell: 6.632 6.702 8.799 Å, 93.70 108.31 92.27°
Positions (direct):
Rb  0.000  0.000  0.000
Hf  0.500  0.000  0.500
Ag  0.400  0.489  0.796
Ag  0.600  0.511  0.204
Cl  0.158  0.829  0.357
Cl  0.226  0.522  0.005
Cl  0.316  0.312  0.524
Cl  0.466  0.900  0.759
Cl  0.534  0.100  0.241
Cl  0.684  0.688  0.476
Cl  0.774  0.478  0.995
Cl  0.842  0.171  0.643

D(E_F): 1.4 states/eV per cell
Size of the total moment: 0.00 μB per cell
Uncorrected energy: -3.864 eV/atom
Formation energy (no corrections): -1.25 eV/atom

---

# RbHfAgCl6

An optimized crystal structure of RbHfAgCl6 (PBE, the Alexandria database).

Cell: 6.995 6.995 14.071 Å, 90.00 90.00 120.00°
Positions (direct):
Rb  0.000  0.000  0.000
Rb  0.000  0.000  0.500
Hf  0.333  0.667  0.250
Hf  0.667  0.333  0.750
Ag  0.333  0.667  0.750
Ag  0.667  0.333  0.250
Cl  0.036  0.392  0.148
Cl  0.036  0.644  0.352
Cl  0.356  0.392  0.352
Cl  0.356  0.964  0.148
Cl  0.392  0.036  0.648
Cl  0.392  0.356  0.852
Cl  0.608  0.644  0.148
Cl  0.608  0.964  0.352
Cl  0.644  0.036  0.852
Cl  0.644  0.608  0.648
Cl  0.964  0.356  0.648
Cl  0.964  0.608  0.852

D(E_F): 0.0 states/eV per cell
Size of the total moment: 0.00 μB per cell
Uncorrected energy: -4.361 eV/atom
Formation energy (no corrections): -1.60 eV/atom

---

# Rb2HfAgCl6

An optimized crystal structure of Rb2HfAgCl6 (PBE, the Alexandria database).

Cell: 7.474 7.474 7.474 Å, 120.07 120.07 89.88°
Positions (direct):
Rb  0.250  0.750  0.500
Rb  0.750  0.250  0.500
Hf  0.000  0.000  0.000
Ag  0.500  0.500  0.000
Cl  0.238  0.238  0.000
Cl  0.238  0.238  0.477
Cl  0.238  0.762  0.000
Cl  0.762  0.238  0.000
Cl  0.762  0.762  0.000
Cl  0.762  0.762  0.523

D(E_F): 9.1 states/eV per cell
Size of the total moment: 0.99 μB per cell
Uncorrected energy: -4.090 eV/atom
Formation energy (no corrections): -1.51 eV/atom

---

# HfRe2AgCl

An optimized crystal structure of HfRe2AgCl (PBE, the Alexandria database).

Cell: 4.386 4.386 4.631 Å, 90.00 90.00 90.00°
Positions (direct):
Hf  0.000  0.000  0.000
Re  0.000  0.500  0.500
Re  0.500  0.000  0.500
Ag  0.500  0.500  0.000
Cl  0.000  0.000  0.500

D(E_F): 3.3 states/eV per cell
Size of the total moment: 0.00 μB per cell
Uncorrected energy: -6.780 eV/atom
Formation energy (no corrections): 1.13 eV/atom

---

# HfAgRhCl2

An optimized crystal structure of HfAgRhCl2 (PBE, the Alexandria database).

Cell: 4.610 4.610 5.925 Å, 90.00 90.00 90.00°
Positions (direct):
Hf  0.000  0.000  0.000
Ag  0.000  0.000  0.500
Rh  0.500  0.500  0.000
Cl  0.000  0.500  0.500
Cl  0.500  0.000  0.500

D(E_F): 6.0 states/eV per cell
Size of the total moment: 0.00 μB per cell
Uncorrected energy: -3.877 eV/atom
Formation energy (no corrections): 0.89 eV/atom

---

# HfAgS2Cl

An optimized crystal structure of HfAgS2Cl (PBE, the Alexandria database).

Cell: 4.957 4.957 4.957 Å, 90.00 90.00 90.00°
Positions (direct):
Hf  0.000  0.000  0.000
Ag  0.500  0.500  0.500
S  0.000  0.500  0.000
S  0.500  0.000  0.000
Cl  0.000  0.000  0.500

D(E_F): 0.2 states/eV per cell
Size of the total moment: 0.00 μB per cell
Uncorrected energy: -5.321 eV/atom
Formation energy (no corrections): -0.74 eV/atom
Relative energy among the computed polymorphs: 0.0 kJ per mole of atoms

---

# HfAgS2Cl

An optimized crystal structure of HfAgS2Cl (PBE, the Alexandria database).

Cell: 4.842 4.842 4.682 Å, 90.00 90.00 90.00°
Positions (direct):
Hf  0.000  0.000  0.000
Ag  0.500  0.500  0.500
S  0.000  0.500  0.500
S  0.500  0.000  0.500
Cl  0.500  0.500  0.000

D(E_F): 4.1 states/eV per cell
Size of the total moment: 0.96 μB per cell
Uncorrected energy: -4.161 eV/atom
Formation energy (no corrections): 0.42 eV/atom
Relative energy among the computed polymorphs: 111.9 kJ per mole of atoms

---

# HfTlAg2Cl8

An optimized crystal structure of HfTlAg2Cl8 (PBE, the Alexandria database).

Cell: 6.448 6.542 8.456 Å, 95.49 95.45 92.91°
Positions (direct):
Hf  0.000  0.000  0.000
Tl  0.000  0.000  0.500
Ag  0.451  0.452  0.273
Ag  0.549  0.548  0.727
Cl  0.178  0.809  0.793
Cl  0.209  0.841  0.208
Cl  0.270  0.288  0.012
Cl  0.310  0.320  0.527
Cl  0.690  0.680  0.473
Cl  0.730  0.712  0.988
Cl  0.791  0.159  0.792
Cl  0.822  0.191  0.207

D(E_F): 2.5 states/eV per cell
Size of the total moment: 0.00 μB per cell
Uncorrected energy: -3.821 eV/atom
Formation energy (no corrections): -1.09 eV/atom

---

# HfTlAgCl6

An optimized crystal structure of HfTlAgCl6 (PBE, the Alexandria database).

Cell: 6.977 6.977 13.538 Å, 90.00 90.00 120.00°
Positions (direct):
Hf  0.333  0.667  0.250
Hf  0.667  0.333  0.750
Tl  0.000  0.000  0.000
Tl  0.000  0.000  0.500
Ag  0.333  0.667  0.750
Ag  0.667  0.333  0.250
Cl  0.035  0.390  0.144
Cl  0.035  0.645  0.356
Cl  0.355  0.390  0.356
Cl  0.355  0.965  0.144
Cl  0.390  0.035  0.644
Cl  0.390  0.355  0.856
Cl  0.610  0.645  0.144
Cl  0.610  0.965  0.356
Cl  0.645  0.035  0.856
Cl  0.645  0.610  0.644
Cl  0.965  0.355  0.644
Cl  0.965  0.610  0.856

D(E_F): 0.0 states/eV per cell
Size of the total moment: 0.00 μB per cell
Uncorrected energy: -4.292 eV/atom
Formation energy (no corrections): -1.38 eV/atom

---

# AgHg2Cl

An optimized crystal structure of AgHg2Cl (PBE, the Alexandria database).

Cell: 3.585 3.585 8.699 Å, 90.00 90.00 118.05°
Positions (direct):
Ag  0.000  0.000  0.000
Hg  0.500  0.500  0.248
Hg  0.500  0.500  0.752
Cl  0.000  0.000  0.500

D(E_F): 0.8 states/eV per cell
Size of the total moment: 0.00 μB per cell
Uncorrected energy: -1.424 eV/atom
Formation energy (no corrections): -0.10 eV/atom
Relative energy among the computed polymorphs: 11.2 kJ per mole of atoms

---

# AgHgCl2

An optimized crystal structure of AgHgCl2 (PBE, the Alexandria database).

Cell: 5.622 5.622 5.622 Å, 139.69 103.69 90.05°
Positions (direct):
Ag  0.000  0.000  0.000
Hg  0.500  0.500  0.000
Cl  0.217  0.717  0.500
Cl  0.783  0.283  0.500

D(E_F): 2.0 states/eV per cell
Size of the total moment: 0.00 μB per cell
Uncorrected energy: -1.974 eV/atom
Formation energy (no corrections): -0.26 eV/atom
Relative energy among the computed polymorphs: 7.4 kJ per mole of atoms

---

# Ag2HgCl4

An optimized crystal structure of Ag2HgCl4 (PBE, the Alexandria database).

Cell: 8.850 8.850 9.813 Å, 90.00 90.00 90.00°
Positions (direct):
Ag  0.000  0.201  0.000
Ag  0.000  0.799  0.500
Ag  0.201  0.000  0.750
Ag  0.249  0.249  0.375
Ag  0.249  0.751  0.125
Ag  0.751  0.249  0.625
Ag  0.751  0.751  0.875
Ag  0.799  0.000  0.250
Hg  0.219  0.500  0.750
Hg  0.500  0.219  0.000
Hg  0.500  0.781  0.500
Hg  0.781  0.500  0.250
Cl  0.014  0.255  0.745
Cl  0.014  0.745  0.755
Cl  0.253  0.489  0.996
Cl  0.253  0.511  0.504
Cl  0.255  0.014  0.005
Cl  0.255  0.986  0.495
Cl  0.489  0.253  0.754
Cl  0.489  0.747  0.746
Cl  0.511  0.253  0.246
Cl  0.511  0.747  0.254
Cl  0.745  0.014  0.995
Cl  0.745  0.986  0.505
Cl  0.747  0.489  0.004
Cl  0.747  0.511  0.496
Cl  0.986  0.255  0.255
Cl  0.986  0.745  0.245

Size of the total moment: 0.00 μB per cell
Uncorrected energy: -2.412 eV/atom
Formation energy (no corrections): -0.50 eV/atom

---

# AgHgCl

An optimized crystal structure of AgHgCl (PBE, the Alexandria database).

Cell: 4.837 4.837 4.837 Å, 60.00 60.00 60.00°
Positions (direct):
Ag  0.000  0.000  0.000
Hg  0.750  0.750  0.750
Cl  0.250  0.250  0.250

Size of the total moment: 0.00 μB per cell
Uncorrected energy: -1.836 eV/atom
Formation energy (no corrections): -0.17 eV/atom
Relative energy among the computed polymorphs: 12.4 kJ per mole of atoms

---

# AgHg2Cl

An optimized crystal structure of AgHg2Cl (PBE, the Alexandria database).

Cell: 5.426 5.426 5.426 Å, 128.51 128.51 75.80°
Positions (direct):
Ag  0.000  0.000  0.000
Hg  0.500  0.500  0.000
Hg  0.750  0.250  0.500
Cl  0.250  0.750  0.500

D(E_F): 0.6 states/eV per cell
Size of the total moment: 0.00 μB per cell
Uncorrected energy: -1.341 eV/atom
Formation energy (no corrections): -0.02 eV/atom
Relative energy among the computed polymorphs: 19.3 kJ per mole of atoms

---

# Ag4Hg3Cl12

An optimized crystal structure of Ag4Hg3Cl12 (PBE, the Alexandria database).

Cell: 8.663 8.663 8.663 Å, 109.47 109.47 109.47°
Positions (direct):
Ag  0.000  0.000  0.500
Ag  0.000  0.500  0.000
Ag  0.500  0.000  0.000
Ag  0.500  0.500  0.500
Hg  0.000  0.500  0.500
Hg  0.500  0.000  0.500
Hg  0.500  0.500  0.000
Cl  0.130  0.314  0.816
Cl  0.184  0.498  0.314
Cl  0.184  0.870  0.686
Cl  0.314  0.184  0.498
Cl  0.314  0.816  0.130
Cl  0.498  0.314  0.184
Cl  0.502  0.686  0.816
Cl  0.686  0.184  0.870
Cl  0.686  0.816  0.502
Cl  0.816  0.130  0.314
Cl  0.816  0.502  0.686
Cl  0.870  0.686  0.184

D(E_F): 9.2 states/eV per cell
Size of the total moment: 0.00 μB per cell
Uncorrected energy: -2.254 eV/atom
Formation energy (no corrections): -0.44 eV/atom

---

# Ag3HgCl8

An optimized crystal structure of Ag3HgCl8 (PBE, the Alexandria database).

Cell: 7.210 7.210 11.137 Å, 111.59 111.59 40.59°
Positions (direct):
Ag  0.000  0.000  0.000
Ag  0.027  0.027  0.513
Ag  0.763  0.763  0.124
Hg  0.802  0.802  0.649
Cl  0.021  0.021  0.792
Cl  0.215  0.215  0.560
Cl  0.254  0.254  0.130
Cl  0.536  0.536  0.518
Cl  0.569  0.569  0.050
Cl  0.787  0.787  0.862
Cl  0.834  0.834  0.439
Cl  0.959  0.959  0.198

D(E_F): 5.6 states/eV per cell
Size of the total moment: 0.00 μB per cell
Uncorrected energy: -2.331 eV/atom
Formation energy (no corrections): -0.36 eV/atom

---

# AgHg2Cl

An optimized crystal structure of AgHg2Cl (PBE, the Alexandria database).

Cell: 6.586 6.586 3.996 Å, 90.00 90.00 135.17°
Positions (direct):
Ag  0.000  0.000  0.000
Hg  0.179  0.821  0.500
Hg  0.821  0.179  0.500
Cl  0.500  0.500  0.000

D(E_F): 0.3 states/eV per cell
Size of the total moment: 0.00 μB per cell
Uncorrected energy: -1.510 eV/atom
Formation energy (no corrections): -0.18 eV/atom
Relative energy among the computed polymorphs: 3.0 kJ per mole of atoms

---

# Ag2Hg2Cl

An optimized crystal structure of Ag2Hg2Cl (PBE, the Alexandria database).

Cell: 7.730 7.730 7.730 Å, 149.73 149.73 43.33°
Positions (direct):
Ag  0.250  0.750  0.500
Ag  0.750  0.250  0.500
Hg  0.100  0.100  0.000
Hg  0.900  0.900  0.000
Cl  0.500  0.500  0.000

D(E_F): 2.9 states/eV per cell
Size of the total moment: 0.00 μB per cell
Uncorrected energy: -1.667 eV/atom
Formation energy (no corrections): -0.04 eV/atom
Relative energy among the computed polymorphs: 0.0 kJ per mole of atoms

---

# AgHg2Cl

An optimized crystal structure of AgHg2Cl (PBE, the Alexandria database).

Cell: 5.807 5.807 6.074 Å, 118.68 118.68 36.73°
Positions (direct):
Ag  0.000  0.000  0.000
Hg  0.258  0.258  0.946
Hg  0.436  0.436  0.586
Cl  0.637  0.637  0.357

D(E_F): 0.1 states/eV per cell
Size of the total moment: 0.00 μB per cell
Uncorrected energy: -1.497 eV/atom
Formation energy (no corrections): -0.17 eV/atom
Relative energy among the computed polymorphs: 4.2 kJ per mole of atoms

---

# AgHg2Cl4

An optimized crystal structure of AgHg2Cl4 (PBE, the Alexandria database).

Cell: 6.460 6.460 5.562 Å, 90.00 90.00 90.00°
Positions (direct):
Ag  0.000  0.000  0.000
Hg  0.000  0.500  0.500
Hg  0.500  0.000  0.500
Cl  0.244  0.244  0.248
Cl  0.244  0.756  0.752
Cl  0.756  0.244  0.752
Cl  0.756  0.756  0.248

D(E_F): 3.6 states/eV per cell
Size of the total moment: 0.00 μB per cell
Uncorrected energy: -1.937 eV/atom
Formation energy (no corrections): -0.39 eV/atom

---

# AgHg2Cl

An optimized crystal structure of AgHg2Cl (PBE, the Alexandria database).

Cell: 3.538 3.538 8.458 Å, 90.00 90.00 104.19°
Positions (direct):
Ag  0.000  0.000  0.000
Hg  0.000  0.000  0.475
Hg  0.500  0.500  0.760
Cl  0.500  0.500  0.169

D(E_F): 0.6 states/eV per cell
Size of the total moment: 0.00 μB per cell
Uncorrected energy: -1.465 eV/atom
Formation energy (no corrections): -0.14 eV/atom
Relative energy among the computed polymorphs: 7.4 kJ per mole of atoms

---

# AgHgCl4

An optimized crystal structure of AgHgCl4 (PBE, the Alexandria database).

Cell: 6.011 6.011 6.011 Å, 60.00 60.00 60.00°
Positions (direct):
Ag  0.000  0.000  0.000
Hg  0.250  0.250  0.250
Cl  0.124  0.625  0.625
Cl  0.625  0.124  0.625
Cl  0.625  0.625  0.124
Cl  0.625  0.625  0.625

D(E_F): 7.3 states/eV per cell
Size of the total moment: 2.91 μB per cell
Uncorrected energy: -1.305 eV/atom
Formation energy (no corrections): 0.45 eV/atom
Relative energy among the computed polymorphs: 86.7 kJ per mole of atoms